(1)
Entry from OQMD: a geometry-optimized NaCoNi structure (GGA-PBE).

```
3
Lattice="0.000 2.933 2.933 2.933 0.000 2.933 2.933 2.933 0.000" Properties=species:S:1:pos:R:3 pbc="T T T"
Na 0.000 0.000 0.000
Co 4.400 4.400 4.400
Ni 1.467 1.467 1.467
```

Calculated values
The energy above the most stable polymorph in this dataset is 596.8 meV per atom. The calculation puts the calculated density at 4.6 g cm⁻³. Its space-group type is F-43m, No. 216. The value obtained for the raw total energy is -3.140 eV/atom. The calculation puts the magnetization at 2.283 μB per formula unit.

=====

(2)
Entry from OQMD: a geometry-optimized NaCoNi structure (GGA-PBE).

```
3
Lattice="0.000 2.905 2.905 2.905 0.000 2.905 2.905 2.905 0.000" Properties=species:S:1:pos:R:3 pbc="T T T"
Na 0.000 0.000 0.000
Co 2.905 2.905 2.905
Ni 4.357 4.357 4.357
```

Calculated values
The energy above the most stable polymorph in this dataset is 0.0 meV per atom. The calculation puts the calculated density at 4.8 g cm⁻³. Its space-group type is F-43m, No. 216. The value obtained for the raw total energy is -3.737 eV/atom. The calculation puts the magnetization at 2.451 μB per formula unit.

=====

(3)
Entry from OQMD: a geometry-optimized NaCoNiS3 structure (GGA-PBE).

```
12
Lattice="7.030 0.000 0.000 0.000 3.467 0.000 -2.763 0.000 8.472" Properties=species:S:1:pos:R:3 pbc="T T T"
Na 1.090 0.867 1.842
Na 3.177 2.600 6.630
Co 0.551 0.867 7.559
Co 3.716 2.600 0.913
Ni -0.520 2.600 5.463
Ni 4.787 0.867 3.009
S -0.701 2.600 3.149
S -0.747 2.600 7.995
S 0.991 0.867 5.463
S 3.276 2.600 3.009
S 5.014 0.867 0.477
S 4.968 0.867 5.323
```

Calculated values
The energy above the most stable polymorph in this dataset is 7.6 meV per atom. The calculation puts the calculated density at 3.8 g cm⁻³. Its space-group type is P2_1/m, No. 11. The value obtained for the raw total energy is -4.846 eV/atom. The calculation puts the magnetization at 0.858 μB per formula unit.

=====

Look up the raw total energy of the third one. -4.846 eV/atom

=====

calculated density of number 3 (NaCoNiS3)? 3.8 g cm⁻³

=====

Which of these has the lowest calculated density? NaCoNiS3